Entry 1:
Entry from Alexandria: crystalline AcGaTcO6 at its relaxed geometry (PBE).

Calculated values
The crystal system is trigonal.

Structure (POSCAR):
```
AcGaTcO6
1.0
-4.077 -1.862 -2.867
-1.317 -3.191 3.946
-2.027 4.829 -0.255
O Tc Ac Ga
6 1 1 1
direct
0.707 0.721 0.675
0.707 0.954 0.279
0.293 0.325 0.279
0.293 0.954 0.675
0.293 0.721 0.046
0.707 0.325 0.046
0.500 0.000 0.000
0.000 0.333 0.667
0.500 0.667 0.333
```



Entry 2:
Entry from Alexandria: crystalline K4PtSe at its relaxed geometry (PBE).

Calculated values
The crystal system is cubic.

Structure (POSCAR):
```
K4PtSe
1.0
-4.412 -2.490 3.764
-3.117 3.680 4.072
-6.093 1.327 -0.973
K Se Pt
4 1 1
direct
0.375 0.876 0.375
0.876 0.375 0.375
0.375 0.375 0.375
0.375 0.375 0.876
0.000 0.000 0.000
0.750 0.750 0.750
```



Entry 3:
Entry from Alexandria: crystalline AgSnW2N at its relaxed geometry (PBE).

Calculated values
The crystal system is tetragonal.

Structure (POSCAR):
```
AgSnW2N
1.0
-1.446 -3.779 -0.383
2.631 -1.425 4.127
-3.167 0.973 2.355
N W Sn Ag
1 2 1 1
direct
0.000 0.000 0.000
0.500 0.000 0.000
0.000 0.000 0.500
0.000 0.500 0.000
0.500 0.500 0.500
```



Entry 4:
Entry from Alexandria: crystalline Rb2CrInI6 at its relaxed geometry (PBE).

Calculated values
The crystal system is trigonal.

Structure (POSCAR):
```
Rb2CrInI6
1.0
-1.337 -8.503 0.382
-0.365 -4.633 -7.253
6.034 -5.402 -1.971
I Cr Rb In
6 1 2 1
direct
0.024 0.533 0.289
0.100 0.479 0.813
0.533 0.153 0.290
0.153 0.024 0.290
0.608 0.099 0.814
0.479 0.608 0.813
0.316 0.316 0.052
0.071 0.071 0.786
0.561 0.561 0.317
0.816 0.816 0.552
```



Magnetic moment / μB/f.u.: 1.010 0.000 0.000 3.010
ΔE_f (raw) / meV/atom: -2064 193 544 -831